[1]
PBE K8Mg, optimized geometry; DOS(E_F) = 5.631 states/eV/f.u.; energy of formation = 0.070 eV/atom; symmetry = I4/mmm; theoretical density = 0.97 g cm⁻³
1.0
-7.029 7.029 2.905
7.029 -7.029 2.905
7.029 7.029 -2.905
K Mg
8 1
Cartesian
4.566 0.000 0.000
9.492 0.000 0.000
0.000 4.566 0.000
4.891 4.891 0.000
2.138 -2.138 2.905
-2.138 2.138 2.905
2.138 2.138 2.905
0.000 9.492 0.000
0.000 0.000 0.000


[2]
PBE La2Tb4Dy, optimized geometry; DOS(E_F) = 10.046 states/eV/f.u.; distance to the lowest polymorph of the same formula = 0.5580 eV/atom; energy of formation = 0.625 eV/atom; symmetry = I4/mmm; theoretical density = 6.60 g cm⁻³
1.0
-2.787 2.787 8.720
2.787 -2.787 8.720
2.787 2.787 -8.720
La Tb Dy
2 4 1
Cartesian
0.000 0.000 2.183
0.000 0.000 15.258
2.787 0.000 0.000
0.000 0.000 5.655
0.000 2.787 0.000
0.000 0.000 11.785
0.000 0.000 8.720


[3]
PBE Sc3U, optimized geometry; DOS(E_F) = 11.269 states/eV/f.u.; distance to the lowest polymorph of the same formula = 0.1420 eV/atom; energy of formation = 0.358 eV/atom; symmetry = I4/mmm; theoretical density = 6.44 g cm⁻³
1.0
-2.255 2.255 4.724
2.255 -2.255 4.724
2.255 2.255 -4.724
Sc U
3 1
Cartesian
0.000 0.000 0.000
2.255 0.000 2.362
0.000 2.255 2.362
0.000 0.000 4.724


[4]
PBE CaPr2Sm3As6, optimized geometry; DOS(E_F) = 5.581 states/eV/f.u.; energy of formation = -1.409 eV/atom; symmetry = C2/m; theoretical density = 6.20 g cm⁻³
1.0
9.288 -2.127 0.000
9.288 2.127 0.000
-1.975 0.000 8.282
Ca Pr Sm As
1 2 3 6
Cartesian
0.000 0.000 0.000
4.893 0.000 5.545
11.709 0.000 2.737
-0.988 0.000 4.141
5.873 0.000 1.372
10.729 0.000 6.910
1.924 0.000 4.853
2.964 0.000 0.665
8.755 0.000 2.108
7.846 0.000 6.174
13.637 0.000 7.617
14.677 0.000 3.429


[5]
PBE Li4Hg3Bi2, optimized geometry; DOS(E_F) = 2.365 states/eV/f.u.; energy of formation = -0.323 eV/atom; symmetry = P-1; theoretical density = 8.66 g cm⁻³
1.0
4.671 0.000 0.000
-2.276 4.445 0.000
-1.139 -2.080 9.671
Li Hg Bi
4 3 2
Cartesian
0.069 -0.439 3.033
0.077 2.809 0.969
1.179 -0.444 8.702
1.187 2.804 6.637
0.000 0.000 0.000
0.102 2.381 3.974
1.154 -0.016 5.697
-1.180 1.186 7.609
2.436 1.179 2.061


[6]
PBE CdBi3W, optimized geometry; DOS(E_F) = 4.149 states/eV/f.u.; distance to the lowest polymorph of the same formula = 0.9716 eV/atom; energy of formation = 1.694 eV/atom; symmetry = Pm-3m; theoretical density = 8.96 g cm⁻³
1.0
5.551 0.000 0.000
0.000 5.551 0.000
0.000 0.000 5.551
Cd Bi W
1 3 1
Cartesian
0.000 0.000 0.000
0.000 0.000 2.776
0.000 2.776 0.000
2.776 0.000 0.000
2.776 2.776 2.776


[7]
PBE LiGeAu2, optimized geometry; DOS(E_F) = 1.292 states/eV/f.u.; energy of formation = -0.285 eV/atom; symmetry = P4/mmm; theoretical density = 11.72 g cm⁻³
1.0
4.258 0.000 0.000
0.000 4.258 0.000
0.000 0.000 3.702
Li Ge Au
1 1 2
Cartesian
0.000 0.000 0.000
2.129 2.129 0.000
0.000 2.129 1.851
2.129 0.000 1.851


[8]
PBE PrDyAg, optimized geometry; DOS(E_F) = 3.334 states/eV/f.u.; distance to the lowest polymorph of the same formula = 0.1464 eV/atom; energy of formation = -0.021 eV/atom; symmetry = P3m1; theoretical density = 7.97 g cm⁻³
1.0
5.103 0.000 0.000
-2.552 4.419 0.000
0.000 0.000 3.801
Pr Dy Ag
1 1 1
Cartesian
0.000 0.000 0.000
0.000 2.946 1.730
2.552 1.473 2.447


[9]
PBE CsCd2Pb2, optimized geometry; DOS(E_F) = 2.000 states/eV/f.u.; distance to the lowest polymorph of the same formula = 0.0136 eV/atom; energy of formation = -0.084 eV/atom; symmetry = I4/mmm; theoretical density = 7.29 g cm⁻³
1.0
-2.623 2.623 6.392
2.623 -2.623 6.392
2.623 2.623 -6.392
Cs Cd Pb
1 2 2
Cartesian
0.000 0.000 0.000
2.623 0.000 3.196
0.000 2.623 3.196
0.000 0.000 4.817
0.000 0.000 7.967


[10]
PBE LiSn2Ir, optimized geometry; DOS(E_F) = 2.318 states/eV/f.u.; energy of formation = 0.139 eV/atom; symmetry = Immm; theoretical density = 7.87 g cm⁻³
1.0
-1.514 2.177 6.988
1.514 -2.177 6.988
1.514 2.177 -6.988
Li Sn Ir
1 2 1
Cartesian
0.000 0.000 0.000
0.000 0.000 4.426
0.000 0.000 9.549
0.000 0.000 6.988


[11]
PBE NdSm6Zn, optimized geometry; DOS(E_F) = 9.969 states/eV/f.u.; energy of formation = 0.033 eV/atom; symmetry = R-3; theoretical density = 7.19 g cm⁻³
1.0
4.742 2.738 3.296
-4.742 2.738 3.296
0.000 -5.476 3.296
Nd Sm Zn
1 6 1
Cartesian
0.000 0.000 0.000
-2.220 0.256 2.924
0.888 -2.050 2.924
-1.332 -1.794 6.964
1.332 1.794 2.924
-0.888 2.050 6.964
2.220 -0.256 6.964
0.000 0.000 4.944


[12]
PBE LaMnGe2Pd, optimized geometry; DOS(E_F) = 2.285 states/eV/f.u.; energy of formation = -0.675 eV/atom; symmetry = I-4m2; theoretical density = 7.58 g cm⁻³
1.0
-2.149 2.149 5.285
2.149 -2.149 5.285
2.149 2.149 -5.285
La Mn Ge Pd
1 1 2 1
Cartesian
0.000 0.000 0.000
0.000 2.149 2.643
0.000 0.000 4.006
0.000 0.000 6.565
2.149 0.000 2.643